No. 1
Entry from the Alexandria database: a crystal of HgPt4 relaxed with PBEsol (SCAN).

Cell lengths 5.0817, 5.0817, 5.0817 Å; angles 109.47, 109.47, 109.47 degrees
Closest atoms and distances in Å follow each position.
Fractional coordinates of all 5 atoms:
1 Hg 0.0000 0.0000 0.0000  8 Pt 2.54
2 Pt 0.0000 0.0000 0.5000  2 Hg 2.54
3 Pt 0.0000 0.5000 0.0000  2 Hg 2.54
4 Pt 0.5000 0.0000 0.0000  2 Hg 2.54
5 Pt 0.5000 0.5000 0.5000  2 Hg 2.54

Output
- Space group: Im-3m
- DFT formation energy: 1.030 eV per atom
- Energy relative to the lowest polymorph listed for this composition: 915.7 meV per atom

=====

No. 2
Entry from the Alexandria database: a crystal of AlAsRu3 relaxed with PBEsol (SCAN).

Cell lengths 4.4206, 4.4206, 4.4206 Å; angles 90.00, 90.00, 90.00 degrees
Closest atoms and distances in Å follow each position.
Fractional coordinates of all 5 atoms:
1 Al 0.0000 0.0000 0.0000  12 Ru 3.13
2 As 0.5000 0.5000 0.5000  6 Ru 2.21
3 Ru 0.0000 0.5000 0.5000  2 As 2.21
4 Ru 0.5000 0.0000 0.5000  2 As 2.21
5 Ru 0.5000 0.5000 0.0000  2 As 2.21

Output
- Space group: Pm-3m
- DFT formation energy: 0.671 eV per atom

=====

No. 3
Entry from the Alexandria database: a crystal of CdTe2As relaxed with PBEsol (SCAN).

Cell lengths 5.1265, 5.1265, 5.1265 Å; angles 60.00, 60.00, 60.00 degrees
Closest atoms and distances in Å follow each position.
Fractional coordinates of all 4 atoms:
1 Cd 0.0000 0.0000 0.0000  4 As 3.14, 4 Te 3.14
2 Te 0.2500 0.2500 0.2500  4 Te 3.14, 4 Cd 3.14
3 Te 0.5000 0.5000 0.5000  4 As 3.14, 4 Te 3.14
4 As 0.7500 0.7500 0.7500  4 Te 3.14, 4 Cd 3.14

Output
- Raw formation energy: 0.378 eV/atom
- Space group: F-43m
- Energy relative to the lowest polymorph listed for this composition: 349.6 meV per atom

=====

No. 4
Entry from the Alexandria database: a crystal of TiSeN2F relaxed with PBEsol (SCAN).

Cell lengths 3.9031, 3.9031, 3.8561 Å; angles 90.00, 90.00, 90.00 degrees
Closest atoms and distances in Å follow each position.
Fractional coordinates of all 5 atoms:
1 Ti 0.0000 0.0000 0.0000  8 N 2.74, 4 Se 2.76
2 Se 0.5000 0.5000 0.0000  2 F 1.93
3 N 0.0000 0.5000 0.5000  2 F 1.95
4 N 0.5000 0.0000 0.5000  2 F 1.95
5 F 0.5000 0.5000 0.5000  2 Se 1.93, 4 N 1.95

Output
- Raw formation energy: 1.407 eV/atom
- Space group: P4/mmm
- Energy relative to the lowest polymorph listed for this composition: 1706.6 meV per atom

=====

No. 5
Entry from the Alexandria database: a crystal of SrMgFe2Re relaxed with PBEsol (SCAN).

Cell lengths 4.5937, 4.5937, 5.0635 Å; angles 90.00, 90.00, 90.00 degrees
Closest atoms and distances in Å follow each position.
Fractional coordinates of all 5 atoms:
1 Sr 0.0000 0.0000 0.0000  4 Mg 3.25, 8 Fe 3.42
2 Mg 0.5000 0.5000 0.0000  2 Re 2.53
3 Fe 0.0000 0.5000 0.5000  2 Re 2.30
4 Fe 0.5000 0.0000 0.5000  2 Re 2.30
5 Re 0.5000 0.5000 0.5000  4 Fe 2.30, 2 Mg 2.53

Output
- Space group: P4/mmm
- DFT formation energy: 0.742 eV per atom

=====

No. 6
Entry from the Alexandria database: a crystal of LiMn2Ge2 relaxed with PBEsol (SCAN).

Cell lengths 7.1639, 7.1639, 2.6626 Å; angles 90.00, 90.00, 90.00 degrees
Closest atoms and distances in Å follow each position.
Fractional coordinates of all 10 atoms:
1 Li 0.0000 0.0000 0.0000  2 Li 2.66, 4 Mn 2.84, 8 Ge 2.97
2 Li 0.5000 0.5000 0.0000  2 Li 2.66, 4 Mn 2.84, 8 Ge 2.97
3 Mn 0.1240 0.3760 0.0000  6 Ge 2.47-2.52, 3 Mn 2.51-2.66
4 Mn 0.3760 0.8760 0.0000  6 Ge 2.47-2.52, 3 Mn 2.51-2.66
5 Mn 0.6240 0.1240 0.0000  6 Ge 2.47-2.52, 3 Mn 2.51-2.66
6 Mn 0.8760 0.6240 0.0000  6 Ge 2.47-2.52, 3 Mn 2.51-2.66
7 Ge 0.1712 0.6712 0.5000  6 Mn 2.47-2.52, 2 Ge 2.66
8 Ge 0.3288 0.1712 0.5000  6 Mn 2.47-2.52, 2 Ge 2.66
9 Ge 0.6712 0.8288 0.5000  6 Mn 2.47-2.52, 2 Ge 2.66
10 Ge 0.8288 0.3288 0.5000  6 Mn 2.47-2.52, 2 Ge 2.66

Output
- Space group: P4/mbm
- DFT formation energy: -0.233 eV per atom

=====

No. 7
Entry from the Alexandria database: a crystal of MoRh2 relaxed with PBEsol (SCAN).

Cell lengths 7.3541, 7.3541, 2.7142 Å; angles 90.00, 90.00, 120.00 degrees
Closest atoms and distances in Å follow each position.
Fractional coordinates of all 9 atoms:
1 Mo 0.0000 0.0000 0.0000  9 Rh 2.61-2.64, 2 Mo 2.71
2 Mo 0.3333 0.6667 0.5000  9 Rh 2.57-2.73, 2 Mo 2.71
3 Mo 0.6667 0.3333 0.5000  9 Rh 2.57-2.73, 2 Mo 2.71
4 Rh 0.0000 0.3035 0.5000  4 Mo 2.57-2.61, 8 Rh 2.71-2.83
5 Rh 0.0000 0.6411 0.0000  5 Mo 2.64-2.73, 8 Rh 2.71-2.83
6 Rh 0.3035 0.0000 0.5000  4 Mo 2.57-2.61, 8 Rh 2.71-2.83
7 Rh 0.3589 0.3589 0.0000  5 Mo 2.64-2.73, 8 Rh 2.71-2.83
8 Rh 0.6411 0.0000 0.0000  5 Mo 2.64-2.73, 8 Rh 2.71-2.83
9 Rh 0.6965 0.6965 0.5000  4 Mo 2.57-2.61, 8 Rh 2.71-2.83

Output
- Space group: P-62m
- DFT formation energy: -0.167 eV per atom

=====

No. 8
Entry from the Alexandria database: a crystal of MnZn2Hg relaxed with PBEsol (SCAN).

Cell lengths 5.3449, 5.3449, 5.3449 Å; angles 147.88, 128.94, 61.60 degrees
Closest atoms and distances in Å follow each position.
Fractional coordinates of all 4 atoms:
1 Mn 0.0000 0.0000 0.0000  4 Zn 2.61, 4 Hg 2.74
2 Zn 0.2340 0.7340 0.5000  2 Mn 2.61, 4 Zn 2.75, 2 Hg 2.85
3 Zn 0.7660 0.2660 0.5000  2 Mn 2.61, 4 Zn 2.75, 2 Hg 2.85
4 Hg 0.5000 0.5000 0.0000  4 Mn 2.74, 4 Zn 2.85, 2 Hg 2.96

Output
- Space group: Immm
- DFT formation energy: 0.060 eV per atom

=====

No. 9
Entry from the Alexandria database: a crystal of RbAs3C relaxed with PBEsol (SCAN).

Cell lengths 4.6206, 4.6206, 4.6206 Å; angles 90.00, 90.00, 90.00 degrees
Closest atoms and distances in Å follow each position.
Fractional coordinates of all 5 atoms:
1 Rb 0.0000 0.0000 0.0000  12 As 3.27
2 As 0.0000 0.5000 0.5000  2 C 2.31
3 As 0.5000 0.0000 0.5000  2 C 2.31
4 As 0.5000 0.5000 0.0000  2 C 2.31
5 C 0.5000 0.5000 0.5000  6 As 2.31

Output
- Space group: Pm-3m
- DFT formation energy: 1.055 eV per atom

=====

No. 10
Entry from the Alexandria database: a crystal of Cr2CuP relaxed with PBEsol (SCAN).

Cell lengths 2.7569, 2.7569, 5.9040 Å; angles 90.00, 90.00, 90.00 degrees
Closest atoms and distances in Å follow each position.
Fractional coordinates of all 4 atoms:
1 Cr 0.0000 0.0000 0.2219  4 P 2.35, 4 Cu 2.55, 1 Cr 2.62
2 Cr 0.0000 0.0000 0.7781  4 P 2.35, 4 Cu 2.55, 1 Cr 2.62
3 Cu 0.5000 0.5000 0.5000  8 Cr 2.55, 4 Cu 2.76
4 P 0.5000 0.5000 0.0000  8 Cr 2.35

Output
- Space group: P4/mmm
- DFT formation energy: 0.111 eV per atom

=====

No. 11
Entry from the Alexandria database: a crystal of ZrGeSe2 relaxed with PBEsol (SCAN).

Cell lengths 8.5418, 8.5418, 8.5418 Å; angles 24.39, 24.39, 24.39 degrees
Closest atoms and distances in Å follow each position.
Fractional coordinates of all 4 atoms:
1 Zr 0.0000 0.0000 0.0000  2 Se 2.57
2 Ge 0.5000 0.5000 0.5000  6 Se 2.61
3 Se 0.1032 0.1032 0.1032  1 Zr 2.57, 3 Ge 2.61
4 Se 0.8968 0.8968 0.8968  1 Zr 2.57, 3 Ge 2.61

Output
- Raw formation energy: -0.130 eV/atom
- Space group: R-3m

=====

No. 12
Entry from the Alexandria database: a crystal of CrInW2 relaxed with PBEsol (SCAN).

Cell lengths 3.2901, 4.3185, 4.4314 Å; angles 90.00, 90.00, 90.00 degrees
Closest atoms and distances in Å follow each position.
Fractional coordinates of all 4 atoms:
1 Cr 0.0000 0.0000 0.0000  4 In 2.71, 4 W 2.76
2 In 0.5000 0.5000 0.0000  4 Cr 2.71, 4 W 2.76
3 W 0.0000 0.5000 0.5000  4 W 2.71, 4 In 2.76
4 W 0.5000 0.0000 0.5000  4 W 2.71, 4 Cr 2.76

Output
- Space group: Pmmm
- DFT formation energy: 0.399 eV per atom

=====

| no. | density (g cm⁻³) | DOS(E_F) (states/eV/cell) |
| --- | --- | --- |
| 1 | 16.12 | 4.34 |
| 2 | 7.79 | 3.21 |
| 3 | 7.71 | 3.24 |
| 4 | 4.91 | 2.17 |
| 5 | 6.37 | 3.45 |
| 6 | 6.37 | 3.62 |
| 7 | 11.82 | 9.05 |
| 8 | 10.26 | 1.89 |
| 9 | 5.42 | 2.69 |
| 10 | 7.35 | 4.03 |
| 11 | 5.72 | 2.71 |
| 12 | 14.10 | 2.00 |